## Cd4InSn2Hg (PBE)

Data for Cd4InSn2Hg after structural relaxation.

Results
As for the symmetry: P2/m, No. 10. Its total magnetization is 0.00 μB per atom. As for the volume: 25.066 A^3/atom. As for the total energy: -1.79 eV/atom.

a = 3.545 Å, b = 5.724 Å, c = 10.061 Å
α = 79.22°, β = 90.00°, γ = 90.00°
Sites, in units of the cell vectors:
Cd (0.000, 0.740, 0.747)
Cd (0.000, 0.260, 0.253)
Cd (0.500, 0.744, 0.254)
Cd (0.500, 0.256, 0.746)
In (0.500, 0.500, 0.000)
Sn (0.000, 0.000, 0.000)
Sn (0.500, 0.000, 0.500)
Hg (0.000, 0.500, 0.500)

=====

## Y2UGa9 (PBE)

Data for Y2UGa9 after structural relaxation.

Results
As for the symmetry: P4/mmm, No. 123. Its total magnetization is 0.18 μB per atom. As for the volume: 19.466 A^3/atom. As for the total energy: -4.73 eV/atom.

a = 4.258 Å, b = 4.258 Å, c = 12.883 Å
α = 90.00°, β = 90.00°, γ = 90.00°
Each line ends with the local moment (μB).
Sites, in units of the cell vectors:
Y (0.000, 0.000, 0.333)  -0.01
Y (0.000, 0.000, 0.667)  -0.01
U (0.000, 0.000, 0.000)  1.94
Ga (0.500, 0.500, 0.000)  0.03
Ga (0.500, 0.500, 0.332)  0.00
Ga (0.500, 0.500, 0.668)  0.00
Ga (0.500, 0.000, 0.165)  0.01
Ga (0.500, 0.000, 0.500)  -0.01
Ga (0.500, 0.000, 0.835)  0.01
Ga (0.000, 0.500, 0.165)  0.01
Ga (0.000, 0.500, 0.500)  -0.01
Ga (0.000, 0.500, 0.835)  0.01

=====

## CaCdSn (PBE)

Data for CaCdSn after structural relaxation.

Results
As for the symmetry: Cm, No. 8. Its total magnetization is 0.00 μB per atom. As for the volume: 27.370 A^3/atom. As for the total energy: -2.75 eV/atom.

a = 6.297 Å, b = 4.931 Å, c = 6.296 Å
α = 113.14°, β = 75.49°, γ = 113.14°
Sites, in units of the cell vectors:
Ca (0.269, 0.761, 0.293)
Ca (0.772, 0.763, 0.796)
Sn (0.389, 0.091, 0.833)
Sn (0.809, 0.091, 0.413)
Cd (0.138, 0.433, 0.769)
Cd (0.745, 0.433, 0.162)

=====

## Li2CeZnPd4 (PBE)

Data for Li2CeZnPd4 after structural relaxation.

Results
As for the symmetry: R-3m, No. 166. Its total magnetization is 0.09 μB per atom. As for the volume: 16.442 A^3/atom. As for the total energy: -4.53 eV/atom.

a = 4.376 Å, b = 4.376 Å, c = 8.323 Å
α = 74.76°, β = 74.76°, γ = 60.00°
Each line ends with the local moment (μB).
Sites, in units of the cell vectors:
Li (0.763, 0.763, 0.711)  0.00
Li (0.237, 0.237, 0.289)  0.00
Ce (0.000, 0.000, 0.000)  0.59
Zn (0.500, 0.500, 0.500)  0.00
Pd (0.393, 0.393, 0.821)  0.00
Pd (0.873, 0.873, 0.381)  -0.01
Pd (0.127, 0.127, 0.619)  -0.01
Pd (0.607, 0.607, 0.179)  0.00

=====

## Ca3Ga4Au7 (PBE)

Data for Ca3Ga4Au7 after structural relaxation.

Results
As for the symmetry: C2/m, No. 12. Its total magnetization is 0.00 μB per atom. As for the volume: 20.597 A^3/atom. As for the total energy: -3.51 eV/atom.

a = 4.418 Å, b = 8.662 Å, c = 8.547 Å
α = 67.97°, β = 75.02°, γ = 75.22°
Sites, in units of the cell vectors:
Ca (0.320, 0.184, 0.175)
Ca (0.680, 0.816, 0.825)
Ca (0.000, 0.500, 0.500)
Ga (0.677, 0.465, 0.182)
Ga (0.323, 0.535, 0.818)
Ga (0.869, 0.907, 0.356)
Ga (0.131, 0.093, 0.644)
Au (0.317, 0.807, 0.558)
Au (0.504, 0.217, 0.776)
Au (0.866, 0.368, 0.901)
Au (0.683, 0.193, 0.442)
Au (0.134, 0.632, 0.099)
Au (0.000, 0.000, 0.000)
Au (0.496, 0.783, 0.224)

=====

## AcMgHgPt (PBE)

Data for AcMgHgPt after structural relaxation.

Results
As for the symmetry: F-43m, No. 216. Its total magnetization is 0.00 μB per atom. As for the volume: 24.996 A^3/atom. As for the total energy: -3.59 eV/atom.

a = 5.210 Å, b = 5.210 Å, c = 5.210 Å
α = 60.00°, β = 60.00°, γ = 60.00°
Sites, in units of the cell vectors:
Mg (0.000, 0.000, 0.000)
Ac (0.500, 0.500, 0.500)
Hg (0.750, 0.750, 0.750)
Pt (0.250, 0.250, 0.250)

=====

## TaPAu (PBE)

Data for TaPAu after structural relaxation.

Results
The excess energy over the best structure of this formula in the dataset comes out at 0.199 eV per atom. As for the symmetry: Fmm2, No. 42. Its total magnetization is 0.00 μB per atom. As for the volume: 17.852 A^3/atom. As for the total energy: -6.81 eV/atom.

a = 6.695 Å, b = 6.565 Å, c = 2.947 Å
α = 79.65°, β = 74.70°, γ = 25.66°
Sites, in units of the cell vectors:
Ta (0.678, 0.678, 0.322)
P (0.311, 0.311, 0.689)
Au (0.011, 0.011, 0.989)

=====

## KInSb3 (PBE)

Data for KInSb3 after structural relaxation.

Results
The excess energy over the best structure of this formula in the dataset comes out at 0.000 eV per atom. The calculation puts the formation energy (no corrections) at 1.61 eV/f.u. As for the symmetry: Pm-3m, No. 221. Its total magnetization is 0.00 μB per atom. As for the volume: 38.057 A^3/atom. As for the total energy: -2.92 eV/atom.

a = 5.752 Å, b = 5.752 Å, c = 5.752 Å
α = 90.00°, β = 90.00°, γ = 90.00°
Sites, in units of the cell vectors:
Sb (0.000, 0.500, 0.000)
Sb (0.000, 0.000, 0.500)
Sb (0.500, 0.000, 0.000)
K (0.500, 0.500, 0.500)
In (0.000, 0.000, 0.000)

=====

Question: Among the records above, which one has the lowest volume?
Answer: Li2CeZnPd4

=====

Question: Which of these has the lowest volume?
Answer: Li2CeZnPd4